The following is a GGA-PBE calculation of PmHoGaRu after structural relaxation, from Alexandria via LeMat-Bulk.

Cell: 4.3475 3.9715 10.7575 Å, 90.00 90.00 90.00°
Last column: nearest neighbours and their distance in Å.
Space group Amm2 (No. 38)
One atom of each set of equivalent atoms:
Pm: 0.0000 0.0000 0.0000 [2 per cell]  3 Ru 3.05-3.06, 4 Ga 3.07
Ho: 0.5000 0.0000 0.2845 [2 per cell]  3 Ga 2.95-3.20, 4 Ru 3.04
Ga: 0.5000 0.0000 0.5818 [2 per cell]  2 Ru 2.60
Ru: 0.0000 0.0000 0.7152 [2 per cell]  2 Ga 2.60

Properties
DFT total energy: -0.2153 Ha/atom
total magnetization: 0.00 μB per atom
distance to the lowest polymorph of the same formula: 0.000 eV per atom
ΔE_f: -450 meV/atom

The following is a GGA-PBE calculation of LaHfCuAs3 after structural relaxation, from Alexandria via LeMat-Bulk.

Cell: 8.0609 3.9472 8.8507 Å, 90.00 105.84 90.00°
Last column: nearest neighbours and their distance in Å.
Space group P2_1/m (No. 11)
One atom of each set of equivalent atoms:
La: 0.1956 0.2500 0.2433 [2 per cell]  7 As 3.03-3.16
Hf: 0.3257 0.7500 0.8480 [2 per cell]  6 As 2.72-2.74
Cu: 0.0872 0.2500 0.5916 [2 per cell]  4 As 2.46-2.53, 2 Cu 2.69
As: 0.1026 0.2500 0.8727 [2 per cell]  1 Cu 2.46, 2 Hf 2.72
As: 0.2365 0.7500 0.5274 [2 per cell]  3 Cu 2.46-2.53, 1 Hf 2.73
As: 0.4475 0.7500 0.1687 [2 per cell]  3 Hf 2.72-2.74, 2 La 3.03

Properties
DFT total energy: -0.2339 Ha/atom
total magnetization: 0.00 μB per atom
ΔE_f: -876 meV/atom

The following is a GGA-PBE calculation of PmSiNi after structural relaxation, from Alexandria via LeMat-Bulk.

Cell: 6.2178 6.2178 6.2178 Å, 90.00 90.00 90.00°
Last column: nearest neighbours and their distance in Å.
Space group F-43m (No. 216)
One atom of each set of equivalent atoms:
Pm: 0.0000 0.0000 0.0000 [4 per cell]  4 Ni 2.69
Si: 0.0000 0.0000 0.5000 [4 per cell]  4 Ni 2.69
Ni: 0.2500 0.2500 0.7500 [4 per cell]  4 Pm 2.69, 4 Si 2.69

Properties
DFT total energy: -0.2113 Ha/atom
total magnetization: 0.16 μB per atom
distance to the lowest polymorph of the same formula: 0.307 eV per atom
ΔE_f (raw): -0.43 eV/atom

The following is a GGA-PBE calculation of BaAcIr after structural relaxation, from Alexandria via LeMat-Bulk.

Cell: 7.4631 7.4631 7.4631 Å, 90.00 90.00 90.00°
Last column: nearest neighbours and their distance in Å.
Space group F-43m (No. 216)
One atom of each set of equivalent atoms:
Ba: 0.0000 0.0000 0.0000 [4 per cell]  4 Ir 3.23
Ac: 0.0000 0.0000 0.5000 [4 per cell]  4 Ir 3.23
Ir: 0.2500 0.2500 0.7500 [4 per cell]  4 Ba 3.23, 4 Ac 3.23

Properties
DFT total energy: -0.1920 Ha/atom
total magnetization: 0.00 μB per atom
distance to the lowest polymorph of the same formula: 0.118 eV per atom
ΔE_f: -261 meV/atom

Copy entry 4 word for word.
The following is a GGA-PBE calculation of BaAcIr after structural relaxation, from Alexandria via LeMat-Bulk.

Cell: 7.4631 7.4631 7.4631 Å, 90.00 90.00 90.00°
Last column: nearest neighbours and their distance in Å.
Space group F-43m (No. 216)
One atom of each set of equivalent atoms:
Ba: 0.0000 0.0000 0.0000 [4 per cell]  4 Ir 3.23
Ac: 0.0000 0.0000 0.5000 [4 per cell]  4 Ir 3.23
Ir: 0.2500 0.2500 0.7500 [4 per cell]  4 Ba 3.23, 4 Ac 3.23

Properties
DFT total energy: -0.1920 Ha/atom
total magnetization: 0.00 μB per atom
distance to the lowest polymorph of the same formula: 0.118 eV per atom
ΔE_f: -261 meV/atom

> DFT total energy of number 3 (PmSiNi)?

-0.2113 Ha/atom

What did the fourth record say?
The following is a GGA-PBE calculation of BaAcIr after structural relaxation, from Alexandria via LeMat-Bulk.

Cell: 7.4631 7.4631 7.4631 Å, 90.00 90.00 90.00°
Last column: nearest neighbours and their distance in Å.
Space group F-43m (No. 216)
One atom of each set of equivalent atoms:
Ba: 0.0000 0.0000 0.0000 [4 per cell]  4 Ir 3.23
Ac: 0.0000 0.0000 0.5000 [4 per cell]  4 Ir 3.23
Ir: 0.2500 0.2500 0.7500 [4 per cell]  4 Ba 3.23, 4 Ac 3.23

Properties
DFT total energy: -0.1920 Ha/atom
total magnetization: 0.00 μB per atom
distance to the lowest polymorph of the same formula: 0.118 eV per atom
ΔE_f: -261 meV/atom